Record 1
Density functional theory data (PBE) for a relaxed Na2TlGeH crystal.

Output
**Raw total energy**: -12.80 eV/cell
**N(E_F)**: 0.3022 states/eV per atom

Cell lengths 4.3836, 4.3836, 5.2735 Å; angles 90.00, 90.00, 90.00 degrees
With the nearest neighbours (Å) after each atom.
Fractional positions:
Tl: 0.0000 0.0000 0.5000  2 H 2.64
Ge: 0.5000 0.5000 0.5000  4 Tl 3.10, 8 Na 3.43
Na: 0.0000 0.5000 0.0000  2 H 2.19
H: 0.0000 0.0000 0.0000  4 Na 2.19
Na: 0.5000 0.0000 0.0000  2 H 2.19

=====

Record 2
Density functional theory data (PBE) for a relaxed Ta2Mo2S7 crystal.

Output
**Raw total energy**: -80.05 eV/cell
**E_form (uncorrected)**: -0.527 eV per atom
**N(E_F)**: 0.6321 states/eV per atom

Cell lengths 6.3321, 6.4461, 6.4461 Å; angles 111.10, 90.60, 90.60 degrees
With the nearest neighbours (Å) after each atom.
Fractional positions:
S: 0.3070 0.9695 0.5860  1 Mo 2.30, 1 Ta 2.45
Ta: 0.5000 0.6407 0.3593  6 S 2.44-2.69
Mo: 0.8510 0.2719 0.2719  3 S 2.21-2.30
S: 0.6930 0.4140 0.0305  1 Mo 2.30, 1 Ta 2.45
S: 0.3070 0.5860 0.9695  1 Mo 2.30, 1 Ta 2.45
S: 0.0000 0.0000 0.0000  2 Mo 2.21
S: 0.6930 0.0305 0.4140  1 Mo 2.30, 1 Ta 2.45
Mo: 0.1490 0.7281 0.7281  3 S 2.21-2.30
S: 0.2209 0.3917 0.3917  2 Ta 2.44, 2 Mo 2.48-2.50
Ta: 0.5000 0.3593 0.6407  6 S 2.44-2.69
S: 0.7791 0.6083 0.6083  2 Ta 2.44, 2 Mo 2.48-2.50